Material: ErHfRh4
Method: DFT, PBE
State: optimized geometry

a b c (Å): 4.5562 7.7213 3.1237
angles (deg): 90.00 90.00 90.00
Fractional coordinates of all 6 atoms:
Er1 0.0000 0.0000 0.0000
Hf1 0.5000 0.5000 0.4977
Rh1 0.0000 0.3016 0.4991
Rh2 0.0000 0.6984 0.4991
Rh3 0.5000 0.2261 0.9982
Rh4 0.5000 0.7739 0.9982

Output
Formation energy ... -8.868 kcal/mol of atoms
Uncorrected energy ... -7.70 eV/atom
Energy relative to the lowest polymorph listed for this composition ... 273 meV/atom

***

Material: CoMo2
Method: DFT, PBE
State: optimized geometry

a b c (Å): 7.0618 7.0618 4.3681
angles (deg): 90.00 90.00 157.05
Fractional coordinates of all 6 atoms:
Co1 0.1052 0.8948 0.7500
Co2 0.8948 0.1052 0.2500
Mo1 0.2419 0.7581 0.2500
Mo2 0.4399 0.5601 0.7500
Mo3 0.5601 0.4399 0.2500
Mo4 0.7581 0.2419 0.7500

Output
Formation energy ... 4.636 kcal/mol of atoms
Uncorrected energy ... -9.39 eV/atom

***

Material: Tb4InAg2Ir
Method: DFT, PBE
State: optimized geometry

a b c (Å): 8.8650 8.8650 8.8650
angles (deg): 33.67 33.67 33.67
Fractional coordinates of all 8 atoms:
Tb1 0.1140 0.1140 0.1140
Tb2 0.3672 0.3672 0.3672
Tb3 0.6328 0.6328 0.6328
Tb4 0.8860 0.8860 0.8860
In1 0.5000 0.5000 0.5000
Ag1 0.2395 0.2395 0.2395
Ag2 0.7605 0.7605 0.7605
Ir1 0.0000 0.0000 0.0000

Output
Formation energy ... -12.292 kcal/mol of atoms
Uncorrected energy ... -5.01 eV/atom